Record 1
VASP calculation (PBE) on a relaxed structure of MnFeSiGe.

The space group is Pmmm (No. 47) and the conventional cell measures 2.835, 4.027 and 4.034 Å, with angles of 90.00, 90.00 and 90.00 degrees. The inequivalent atoms are Mn at (0.000, 0.000, 0.000), Fe at (0.000, 0.500, 0.500), Si at (0.500, 0.000, 0.500) and Ge at (0.500, 0.500, 0.000).

Its spin magnetization is 0.166 μB/atom. For the density of states at the Fermi level, the calculation gives 0.77 states/eV/atom. The offset from the most stable computed form is 0.0 meV per atom. Its total energy is -7.067 eV per atom. Its energy relative to the elements, uncorrected is -0.15 eV per atom.

=====

Record 2
VASP calculation (PBE) on a relaxed structure of PrY2Tm4Sc.

The space group is C2/c (No. 15) and the conventional cell measures 13.404, 13.058 and 6.717 Å, with angles of 90.00, 120.06 and 90.00 degrees. The inequivalent atoms are Pr at (0.250, 0.250, 0.000), Y at (0.000, 0.000, 0.000), Y at (0.250, 0.250, 0.500), Tm at (0.000, 0.261, 0.501), Tm at (0.236, 0.499, 0.985) and Sc at (0.000, 0.500, 0.000).

Its spin magnetization is 0.282 μB/atom. For the density of states at the Fermi level, the calculation gives 2.23 states/eV/atom. Its total energy is -4.799 eV per atom. The value obtained for the energy relative to the elements is 0.442 eV/atom.

=====

Record 3
VASP calculation (PBE) on a relaxed structure of YGaBr2.

The space group is R-3m (No. 166, hexagonal axes) and the conventional cell measures 3.9878, 3.9878 and 28.9553 Å, with angles of 90.00, 90.00 and 120.00 degrees. The inequivalent atoms are Y at (0.0000, 0.0000, 0.0000), Ga at (0.0000, 0.0000, 0.5000) and Br at (0.0000, 0.0000, 0.0955).

Its spin magnetization is 0.000 μB/atom. For the density of states at the Fermi level, the calculation gives 0.28 states/eV/atom. The offset from the most stable computed form is 271.1 meV per atom. Its total energy is -3.863 eV per atom. Its energy relative to the elements, uncorrected is -0.65 eV per atom.

=====

Record 4
VASP calculation (PBE) on a relaxed structure of PdRh2SeS.

The space group is P4/mmm (No. 123) and the conventional cell measures 4.530, 4.530 and 4.856 Å, with angles of 90.00, 90.00 and 90.00 degrees. The inequivalent atoms are Pd at (0.000, 0.000, 0.000), Rh at (0.000, 0.500, 0.500), Se at (0.500, 0.500, 0.500) and S at (0.500, 0.500, 0.000).

Its spin magnetization is 0.110 μB/atom. For the density of states at the Fermi level, the calculation gives 1.33 states/eV/atom. Its total energy is -4.623 eV per atom. Its energy relative to the elements, uncorrected is 0.88 eV per atom.

=====

Record 5
VASP calculation (PBE) on a relaxed structure of DyTmGePt.

The space group is F-43m (No. 216) and the conventional cell measures 7.036, 7.036 and 7.036 Å, with angles of 90.00, 90.00 and 90.00 degrees. The inequivalent atoms are Dy at (0.000, 0.000, 0.000), Tm at (0.000, 0.000, 0.500), Ge at (0.250, 0.250, 0.250) and Pt at (0.250, 0.250, 0.750).

Its spin magnetization is 0.000 μB/atom. For the density of states at the Fermi level, the calculation gives 0.25 states/eV/atom. The offset from the most stable computed form is 129.4 meV per atom. Its total energy is -5.888 eV per atom. The value obtained for the energy relative to the elements is -0.955 eV/atom.

=====

Record 6
VASP calculation (PBE) on a relaxed structure of Mg7Cd2Ir2.

The space group is Cmmm (No. 65) and the conventional cell measures 8.253, 9.578 and 6.447 Å, with angles of 90.00, 90.00 and 90.00 degrees. The inequivalent atoms are Mg at (0.000, 0.000, 0.000), Mg at (0.000, 0.500, 0.238), Mg at (0.250, 0.250, 0.241), Cd at (0.174, 0.000, 0.500) and Ir at (0.000, 0.275, 0.000).

Its spin magnetization is 0.000 μB/atom. For the density of states at the Fermi level, the calculation gives 0.27 states/eV/atom. Its total energy is -2.825 eV per atom. The value obtained for the energy relative to the elements is -0.033 eV/atom.

=====

Record 7
VASP calculation (PBE) on a relaxed structure of Hg2SCl.

The space group is Fm-3m (No. 225) and the conventional cell measures 7.058, 7.058 and 7.058 Å, with angles of 90.00, 90.00 and 90.00 degrees. The inequivalent atoms are Hg at (0.250, 0.250, 0.250), S at (0.000, 0.000, 0.000) and Cl at (0.000, 0.000, 0.500).

Its spin magnetization is 0.000 μB/atom. For the density of states at the Fermi level, the calculation gives 0.46 states/eV/atom. The offset from the most stable computed form is 451.6 meV per atom. Its total energy is -1.482 eV per atom. Its energy relative to the elements, uncorrected is 0.16 eV per atom.

=====

Record 8
VASP calculation (PBE) on a relaxed structure of Zn6Ga12Pt.

The space group is R-3 (No. 148, hexagonal axes) and the conventional cell measures 10.7722, 10.7722 and 10.3513 Å, with angles of 90.00, 90.00 and 120.00 degrees. The inequivalent atoms are Zn at (0.0339, 0.1571, 0.1900), Ga at (0.0588, 0.2680, 0.9358), Ga at (0.0652, 0.2554, 0.4311) and Pt at (0.0000, 0.0000, 0.5000).

Its spin magnetization is 0.000 μB/atom. For the density of states at the Fermi level, the calculation gives 0.43 states/eV/atom. Its total energy is -2.660 eV per atom. The value obtained for the energy relative to the elements is -0.028 eV/atom.